1.
DFT (SCAN) results for a crystal of AlHIO2 relaxed with PBEsol.

Cell lengths 3.483, 3.483, 6.518 Å; angles 90.00, 90.00, 90.00 degrees
Atoms (fractional coordinates):
Al 0.000 0.000 0.000
H 0.500 0.500 0.500
I 0.000 0.000 0.500
O 0.000 0.500 0.000
O 0.500 0.000 0.000

Symmetry: P4/mmm (123)
Calculated volume, Å³/cell: 79
DFT total energy, eV per atom: -12.919

2.
DFT (SCAN) results for a crystal of Y2AlAs relaxed with PBEsol.

Cell lengths 3.944, 4.312, 5.830 Å; angles 90.00, 90.00, 90.00 degrees
Atoms (fractional coordinates):
Y 0.000 0.000 0.000
Y 0.500 0.500 0.500
Al 0.000 0.000 0.500
As 0.500 0.500 0.000

Formation enthalpy at 0 K, kJ/mol of formula units: -294
Symmetry: Pmmm (47)
Calculated volume, Å³/cell: 99
DFT total energy, eV per atom: -21.670

3.
DFT (SCAN) results for a crystal of SrMnPt2 relaxed with PBEsol.

Cell lengths 4.382, 4.382, 3.813 Å; angles 90.00, 90.00, 90.00 degrees
Atoms (fractional coordinates):
Sr 0.000 0.000 0.000
Mn 0.500 0.500 0.000
Pt 0.000 0.500 0.500
Pt 0.500 0.000 0.500

Formation enthalpy at 0 K, kJ/mol of formula units: -182
Symmetry: P4/mmm (123)
Calculated volume, Å³/cell: 73
DFT total energy, eV per atom: -45.701

4.
DFT (SCAN) results for a crystal of Ca3MgCu3 relaxed with PBEsol.

Cell lengths 9.841, 9.841, 4.161 Å; angles 90.00, 90.00, 120.00 degrees
Atoms (fractional coordinates):
Ca 0.066 0.377 0.250
Ca 0.311 0.934 0.250
Ca 0.377 0.311 0.750
Ca 0.623 0.689 0.250
Ca 0.689 0.066 0.750
Ca 0.934 0.623 0.750
Mg 0.333 0.667 0.750
Mg 0.667 0.333 0.250
Cu 0.028 0.156 0.750
Cu 0.127 0.972 0.750
Cu 0.156 0.127 0.250
Cu 0.844 0.873 0.750
Cu 0.873 0.028 0.250
Cu 0.972 0.844 0.250

Formation enthalpy at 0 K, kJ/mol of formula units: -32
Symmetry: P6_3/m (176)
Calculated volume, Å³/cell: 349
DFT total energy, eV per atom: -11.413

5.
DFT (SCAN) results for a crystal of ReC3F relaxed with PBEsol.

Cell lengths 3.983, 3.983, 3.983 Å; angles 90.00, 90.00, 90.00 degrees
Atoms (fractional coordinates):
Re 0.000 0.000 0.000
C 0.000 0.000 0.500
C 0.000 0.500 0.000
C 0.500 0.000 0.000
F 0.500 0.500 0.500

Symmetry: Pm-3m (221)
Calculated volume, Å³/cell: 63
Formation energy without anion corrections, eV/f.u.: 7.7
DFT total energy, eV per atom: -19.445

6.
DFT (SCAN) results for a crystal of TlIN2 relaxed with PBEsol.

Cell lengths 3.369, 3.369, 22.172 Å; angles 90.00, 90.00, 120.00 degrees
Atoms (fractional coordinates):
Tl 0.000 0.000 0.000
Tl 0.333 0.667 0.667
Tl 0.667 0.333 0.333
I 0.000 0.000 0.500
I 0.333 0.667 0.167
I 0.667 0.333 0.833
N 0.000 0.000 0.115
N 0.000 0.000 0.885
N 0.333 0.667 0.552
N 0.333 0.667 0.781
N 0.667 0.333 0.219
N 0.667 0.333 0.448

Symmetry: R-3m (166)
Calculated volume, Å³/cell: 218
Formation energy without anion corrections, eV/f.u.: 6.3
DFT total energy, eV per atom: -30.335

7.
DFT (SCAN) results for a crystal of AlAs3 relaxed with PBEsol.

Cell lengths 3.413, 3.610, 6.237 Å; angles 90.00, 90.00, 90.00 degrees
Atoms (fractional coordinates):
Al 0.000 0.000 0.000
As 0.000 0.500 0.488
As 0.500 0.000 0.669
As 0.500 0.500 0.147

Formation enthalpy at 0 K, kJ/mol of formula units: 53
Symmetry: Pmm2 (25)
Calculated volume, Å³/cell: 77
DFT total energy, eV per atom: -16.944

8.
DFT (SCAN) results for a crystal of Y4Be5 relaxed with PBEsol.

Cell lengths 7.264, 7.264, 7.264 Å; angles 93.92, 93.92, 149.68 degrees
Atoms (fractional coordinates):
Y 0.000 0.286 0.286
Y 0.000 0.714 0.714
Y 0.286 0.000 0.286
Y 0.714 0.000 0.714
Be 0.000 0.000 0.000
Be 0.284 0.284 0.567
Be 0.284 0.716 0.000
Be 0.716 0.284 0.000
Be 0.716 0.716 0.433

Formation enthalpy at 0 K, kJ/mol of formula units: 301
Symmetry: I4/mmm (139)
Calculated volume, Å³/cell: 187
DFT total energy, eV per atom: -14.446

9.
DFT (SCAN) results for a crystal of InTcW2 relaxed with PBEsol.

Cell lengths 2.861, 2.861, 8.006 Å; angles 90.00, 90.00, 90.00 degrees
Atoms (fractional coordinates):
In 0.000 0.000 0.000
Tc 0.000 0.000 0.500
W 0.500 0.500 0.278
W 0.500 0.500 0.722

Formation enthalpy at 0 K, kJ/mol of formula units: 144
Symmetry: P4/mmm (123)
Calculated volume, Å³/cell: 66
DFT total energy, eV per atom: -51.581

10.
DFT (SCAN) results for a crystal of IrOsPt relaxed with PBEsol.

Cell lengths 4.367, 4.367, 2.649 Å; angles 90.00, 90.00, 120.00 degrees
Atoms (fractional coordinates):
Ir 0.000 0.000 0.000
Os 0.667 0.333 0.500
Pt 0.333 0.667 0.000

Formation enthalpy at 0 K, kJ/mol of formula units: 117
Symmetry: P-6m2 (187)
Calculated volume, Å³/cell: 44
DFT total energy, eV per atom: -70.654

11.
DFT (SCAN) results for a crystal of Na8Si7O18 relaxed with PBEsol.

Cell lengths 7.199, 7.199, 7.199 Å; angles 87.25, 87.25, 87.25 degrees
Atoms (fractional coordinates):
Na 0.000 0.000 0.500
Na 0.000 0.500 0.000
Na 0.000 0.500 0.500
Na 0.235 0.235 0.235
Na 0.500 0.000 0.000
Na 0.500 0.000 0.500
Na 0.500 0.500 0.000
Na 0.765 0.765 0.765
Si 0.000 0.000 0.000
Si 0.261 0.728 0.728
Si 0.272 0.272 0.739
Si 0.272 0.739 0.272
Si 0.728 0.261 0.728
Si 0.728 0.728 0.261
Si 0.739 0.272 0.272
O 0.081 0.831 0.831
O 0.169 0.169 0.919
O 0.169 0.919 0.169
O 0.212 0.212 0.543
O 0.212 0.543 0.212
O 0.234 0.500 0.766
O 0.234 0.766 0.500
O 0.457 0.788 0.788
O 0.500 0.234 0.766
O 0.500 0.766 0.234
O 0.543 0.212 0.212
O 0.766 0.234 0.500
O 0.766 0.500 0.234
O 0.788 0.457 0.788
O 0.788 0.788 0.457
O 0.831 0.081 0.831
O 0.831 0.831 0.081
O 0.919 0.169 0.169

Symmetry: R-3m (166)
Calculated volume, Å³/cell: 372
Formation energy without anion corrections, eV/f.u.: -88.8
DFT total energy, eV per atom: -9.235

12.
DFT (SCAN) results for a crystal of KLiSi2 relaxed with PBEsol.

Cell lengths 3.958, 3.958, 9.998 Å; angles 90.00, 90.00, 90.00 degrees
Atoms (fractional coordinates):
K 0.000 0.000 0.000
K 0.500 0.500 0.500
Li 0.000 0.000 0.500
Li 0.500 0.500 0.000
Si 0.000 0.500 0.250
Si 0.000 0.500 0.750
Si 0.500 0.000 0.250
Si 0.500 0.000 0.750

Symmetry: I4/mmm (139)
Calculated volume, Å³/cell: 157
Formation energy without anion corrections, eV/f.u.: 2.0
DFT total energy, eV per atom: -7.194

Which value of DFT total energy does entry 12 give?
-7.194 eV per atom

What is the calculated volume in the third record?
73 Å³/cell